## one
SrMoPb2 | SCAN | PBEsol geometry

Geometry as extended XYZ:
```
4
Lattice="3.5245 0.0000 0.0000 0.0000 3.5245 0.0000 0.0000 0.0000 7.8410" Properties=species:S:1:pos:R:3 pbc="T T T"
Mo 1.7623 1.7623 0.0000
Pb 0.0000 0.0000 1.5744
Pb 0.0000 0.0000 6.2666
Sr 1.7623 1.7623 3.9205
```

- Space-group type: P4/mmm
- DOS at the Fermi energy: 1.920 states/eV per cell
- Magnetic moment: 0.00 μB per formula unit

## two
SrMoPb2 | SCAN | PBEsol geometry

Geometry as extended XYZ:
```
4
Lattice="-0.7355 -3.4634 0.1428 0.8157 -0.3955 -5.3904 5.4262 -0.9135 0.8881" Properties=species:S:1:pos:R:3 pbc="T T T"
Mo 4.7012 -1.1689 -1.9743
Pb 4.3658 -4.2752 0.9743
Pb 1.3598 -3.8038 -2.2866
Sr 2.1155 -2.0897 0.4734
```

- Space-group type: Pm
- DOS at the Fermi energy: 2.090 states/eV per cell
- Magnetic moment: 2.13 μB per formula unit

Energies relative to the most stable structure, in meV per atom: one 0; two 221.

## one
TcMoPb | SCAN | PBEsol geometry

Geometry as extended XYZ:
```
3
Lattice="4.3913 0.0000 0.0000 2.1956 3.8030 0.0000 2.1956 1.2677 3.5855" Properties=species:S:1:pos:R:3 pbc="T T T"
Mo 2.1956 1.2677 0.8964
Pb 0.0000 0.0000 0.0000
Tc 4.3913 2.5353 1.7927
```

- Space-group type: F-43m
- DOS at the Fermi energy: 2.737 states/eV per cell
- Magnetic moment: 0.00 μB per formula unit

## two
TcMoPb | SCAN | PBEsol geometry

Geometry as extended XYZ:
```
3
Lattice="-0.8565 -0.7727 -2.6657 -3.8324 -1.7089 1.7267 0.1601 4.3414 -1.3099" Properties=species:S:1:pos:R:3 pbc="T T T"
Mo -0.8561 -0.7724 -2.6646
Pb -1.5993 1.9379 -1.6317
Tc -2.9298 -0.0785 -0.6183
```

- Space-group type: P-6m2
- DOS at the Fermi energy: 3.059 states/eV per cell
- Magnetic moment: 0.00 μB per formula unit

Energies relative to the most stable structure, in meV per atom: one 91; two 0.